Density functional theory data (PBE) for a relaxed structure of La3Cr.

calculated volume	124.1	Å³ per cell
magnetization	2.6	Bohr magnetons per cell
energy of formation	356	meV/atom

Cell: 5.599 5.599 5.599 Å, 60.00 60.00 60.00°
Positions (direct):
1 La 0.000 0.000 0.000
2 La 0.250 0.250 0.250
3 La 0.750 0.750 0.750
4 Cr 0.500 0.500 0.500

=====

Density functional theory data (PBE) for a relaxed structure of LaCr.

calculated volume	183.9	Å³ per cell
magnetization	0.0	Bohr magnetons per cell
energy of formation	506	meV/atom

Cell: 8.247 7.381 5.502 Å, 78.10 61.14 40.75°
Positions (direct):
1 La 0.042 0.708 0.042
2 La 0.292 0.958 0.292
3 La 0.708 0.042 0.708
4 La 0.958 0.292 0.958
5 Cr 0.305 0.305 0.445
6 Cr 0.445 0.445 0.305
7 Cr 0.555 0.555 0.695
8 Cr 0.695 0.695 0.555

=====

Density functional theory data (PBE) for a relaxed structure of LaCr2.

calculated volume	126.1	Å³ per cell
magnetization	0.3	Bohr magnetons per cell
energy of formation	378	meV/atom

Cell: 7.976 7.976 4.298 Å, 90.00 90.00 152.55°
Positions (direct):
1 La 0.088 0.912 0.750
2 La 0.912 0.088 0.250
3 Cr 0.253 0.747 0.250
4 Cr 0.333 0.667 0.750
5 Cr 0.667 0.333 0.250
6 Cr 0.747 0.253 0.750